Record 1
# BaCe2O4 PBE optimized geometry
data_BaCe2O4
_symmetry_space_group_name_H-M 'P n m a'
_symmetry_Int_Tables_number 62
_cell_length_a 10.627
_cell_length_b 3.636
_cell_length_c 12.577
_cell_angle_alpha 90.00
_cell_angle_beta 90.00
_cell_angle_gamma 90.00
loop_
_symmetry_equiv_pos_as_xyz
'x,y,z'
'-x,-y,-z'
'-x+1/2,-y,z+1/2'
'x+1/2,y,-z+1/2'
'x+1/2,-y+1/2,-z+1/2'
'-x+1/2,y+1/2,z+1/2'
'-x,y+1/2,-z'
'x,-y+1/2,z'
loop_
_atom_site_label
_atom_site_fract_x
_atom_site_fract_y
_atom_site_fract_z
Ba1 0.250 0.250 0.148
Ce1 0.076 0.250 0.888
Ce2 0.082 0.250 0.390
O1 0.012 0.750 0.783
O2 0.066 0.250 0.577
O3 0.121 0.750 0.014
O4 0.216 0.750 0.326
# Energy above the most stable polymorph in this dataset (meV per atom): 0
# Uncorrected formation energy (eV/f.u.): -21.62
# Total DFT energy (no corrections) (eV for the cell shown): -221.0

=====

Record 2
# Dy2SnAu2 PBE optimized geometry
data_Dy2SnAu2
_symmetry_space_group_name_H-M 'P 4/m b m'
_symmetry_Int_Tables_number 127
_symmetry_space_group_name_Hall '-P 4 2ab'
_cell_length_a 7.953
_cell_length_b 7.953
_cell_length_c 3.752
_cell_angle_alpha 90.00
_cell_angle_beta 90.00
_cell_angle_gamma 90.00
loop_
_atom_site_label
_atom_site_fract_x
_atom_site_fract_y
_atom_site_fract_z
Dy1 0.169 0.331 0.000
Sn1 0.000 0.000 0.500
Au1 0.128 0.628 0.500
# Formation energy from the elements (eV per atom): -0.8478
# Total DFT energy (no corrections) (eV for the cell shown): -48.0

=====

Record 3
# Rb2TbSb2Te6 PBE optimized geometry
data_Rb2TbSb2Te6
_symmetry_space_group_name_H-M 'C 1 2/m 1'
_symmetry_Int_Tables_number 12
_cell_length_a 7.641
_cell_length_b 13.231
_cell_length_c 9.269
_cell_angle_alpha 90.00
_cell_angle_beta 106.31
_cell_angle_gamma 90.00
loop_
_symmetry_equiv_pos_as_xyz
'x,y,z'
'-x,-y,-z'
'-x,y,-z'
'x,-y,z'
'x+1/2,y+1/2,z'
'-x+1/2,-y+1/2,-z'
'-x+1/2,y+1/2,-z'
'x+1/2,-y+1/2,z'
loop_
_atom_site_label
_atom_site_fract_x
_atom_site_fract_y
_atom_site_fract_z
Rb1 0.000 0.166 0.000
Tb1 0.000 0.000 0.500
Sb1 0.000 0.331 0.500
Te1 0.229 0.500 0.694
Te2 0.235 0.168 0.695
# Uncorrected formation energy (eV/f.u.): -7.51
# Total DFT energy (no corrections) (eV for the cell shown): -82.3

=====

Record 4
# TiRhN2 PBE optimized geometry
data_TiRhN2
_symmetry_space_group_name_H-M 'R -3 m'
_symmetry_Int_Tables_number 166
_symmetry_space_group_name_Hall '-R 3 2"'
_cell_length_a 3.0017
_cell_length_b 3.0017
_cell_length_c 18.1771
_cell_angle_alpha 90.00
_cell_angle_beta 90.00
_cell_angle_gamma 120.00
loop_
_atom_site_label
_atom_site_fract_x
_atom_site_fract_y
_atom_site_fract_z
Ti1 0.0000 0.0000 0.0000
Rh1 0.0000 0.0000 0.5000
N1 0.0000 0.0000 0.3935
# Energy above the most stable polymorph in this dataset (meV per atom): 117
# Uncorrected formation energy (eV/f.u.): -1.43
# Total DFT energy (no corrections) (eV for the cell shown): -100.0

=====

Record 5
# Rb2Ce2NdSe6 PBE optimized geometry
data_Rb2Ce2NdSe6
_symmetry_space_group_name_H-M 'C 1 2/m 1'
_symmetry_Int_Tables_number 12
_cell_length_a 7.479
_cell_length_b 12.980
_cell_length_c 8.496
_cell_angle_alpha 90.00
_cell_angle_beta 106.82
_cell_angle_gamma 90.00
loop_
_symmetry_equiv_pos_as_xyz
'x,y,z'
'-x,-y,-z'
'-x,y,-z'
'x,-y,z'
'x+1/2,y+1/2,z'
'-x+1/2,-y+1/2,-z'
'-x+1/2,y+1/2,-z'
'x+1/2,-y+1/2,z'
loop_
_atom_site_label
_atom_site_fract_x
_atom_site_fract_y
_atom_site_fract_z
Rb1 0.000 0.166 0.000
Ce1 0.000 0.334 0.500
Nd1 0.000 0.000 0.500
Se1 0.226 0.500 0.694
Se2 0.231 0.170 0.692
# Uncorrected formation energy (eV/f.u.): -18.82
# Total DFT energy (no corrections) (eV for the cell shown): -116.6

=====

Record 6
# NbI PBE optimized geometry
data_NbI
_symmetry_space_group_name_H-M 'P m m n'
_symmetry_Int_Tables_number 59
_cell_length_a 3.659
_cell_length_b 13.881
_cell_length_c 6.661
_cell_angle_alpha 90.00
_cell_angle_beta 90.00
_cell_angle_gamma 90.00
loop_
_symmetry_equiv_pos_as_xyz
'x,y,z'
'-x,-y,-z'
'-x+1/2,-y+1/2,z'
'x+1/2,y+1/2,-z'
'x+1/2,-y,-z'
'-x+1/2,y,z'
'-x,y+1/2,-z'
'x,-y+1/2,z'
loop_
_atom_site_label
_atom_site_fract_x
_atom_site_fract_y
_atom_site_fract_z
Nb1 0.250 0.153 0.007
Nb2 0.250 0.750 0.770
I1 0.250 0.250 0.626
I2 0.250 0.540 0.748
# Uncorrected formation energy (eV/f.u.): -0.10
# Total DFT energy (no corrections) (eV for the cell shown): -70.3

=====

Record 7
# Tb2Pr3Sm6Pb PBE optimized geometry
data_Tb2Pr3Sm6Pb
_symmetry_space_group_name_H-M 'C 1 2/m 1'
_symmetry_Int_Tables_number 12
_cell_length_a 6.252
_cell_length_b 10.859
_cell_length_c 11.900
_cell_angle_alpha 90.00
_cell_angle_beta 100.29
_cell_angle_gamma 90.00
loop_
_symmetry_equiv_pos_as_xyz
'x,y,z'
'-x,-y,-z'
'-x,y,-z'
'x,-y,z'
'x+1/2,y+1/2,z'
'-x+1/2,-y+1/2,-z'
'-x+1/2,y+1/2,-z'
'x+1/2,-y+1/2,z'
loop_
_atom_site_label
_atom_site_fract_x
_atom_site_fract_y
_atom_site_fract_z
Tb1 0.000 0.165 0.000
Pr1 0.000 0.000 0.500
Pr2 0.000 0.330 0.500
Sm1 0.243 0.337 0.243
Sm2 0.245 0.500 0.754
Pb1 0.000 0.500 0.000
# Formation energy from the elements (eV per atom): -0.0481
# Total DFT energy (no corrections) (eV for the cell shown): -112.4

=====

Record 8
# CeSmIn6 PBE optimized geometry
data_CeSmIn6
_symmetry_space_group_name_H-M 'P -6 m 2'
_symmetry_Int_Tables_number 187
_symmetry_space_group_name_Hall 'P -6 2'
_cell_length_a 6.7569
_cell_length_b 6.7569
_cell_length_c 5.2557
_cell_angle_alpha 90.00
_cell_angle_beta 90.00
_cell_angle_gamma 120.00
loop_
_atom_site_label
_atom_site_fract_x
_atom_site_fract_y
_atom_site_fract_z
Ce1 0.0000 0.0000 0.0000
Sm1 0.6667 0.3333 0.5000
In1 0.0150 0.5075 0.0000
In2 0.1743 0.3486 0.5000
# Energy above the most stable polymorph in this dataset (meV per atom): 56
# Formation energy from the elements (eV per atom): -0.3838
# Total DFT energy (no corrections) (eV for the cell shown): -30.2

=====

Record 9
# K2CrRu PBE optimized geometry
data_K2CrRu
_symmetry_space_group_name_H-M 'R 3 m'
_symmetry_Int_Tables_number 160
_symmetry_space_group_name_Hall 'R 3 -2"'
_cell_length_a 4.0661
_cell_length_b 4.0661
_cell_length_c 29.2775
_cell_angle_alpha 90.00
_cell_angle_beta 90.00
_cell_angle_gamma 120.00
loop_
_atom_site_label
_atom_site_fract_x
_atom_site_fract_y
_atom_site_fract_z
K1 0.0000 0.0000 0.0000
K2 0.0000 0.0000 0.1838
Cr1 0.0000 0.0000 0.4252
Ru1 0.0000 0.0000 0.7586
# Energy above the most stable polymorph in this dataset (meV per atom): 20
# Formation energy from the elements (eV per atom): 0.7052
# Total DFT energy (no corrections) (eV for the cell shown): -54.8

=====

Record 10
# CeHI PBE optimized geometry
data_CeHI
_symmetry_space_group_name_H-M 'P -6 m 2'
_symmetry_Int_Tables_number 187
_symmetry_space_group_name_Hall 'P -6 2'
_cell_length_a 4.0008
_cell_length_b 4.0008
_cell_length_c 4.9045
_cell_angle_alpha 90.00
_cell_angle_beta 90.00
_cell_angle_gamma 120.00
loop_
_atom_site_label
_atom_site_fract_x
_atom_site_fract_y
_atom_site_fract_z
Ce1 0.0000 0.0000 0.0000
H1 0.3333 0.6667 0.0000
I1 0.6667 0.3333 0.5000
# Total DFT energy (no corrections) (eV for the cell shown): -13.2

=====

Record 11
# Sr3AlZn2Ag6 PBE optimized geometry
data_Sr3AlZn2Ag6
_symmetry_space_group_name_H-M 'P -3 m 1'
_symmetry_Int_Tables_number 164
_symmetry_space_group_name_Hall '-P 3 2"'
_cell_length_a 6.1374
_cell_length_b 6.1374
_cell_length_c 9.0741
_cell_angle_alpha 90.00
_cell_angle_beta 90.00
_cell_angle_gamma 120.00
loop_
_atom_site_label
_atom_site_fract_x
_atom_site_fract_y
_atom_site_fract_z
Sr1 0.0000 0.0000 0.0000
Sr2 0.3333 0.6667 0.6145
Al1 0.0000 0.0000 0.5000
Zn1 0.3333 0.6667 0.0292
Ag1 0.1763 0.3526 0.2817
# Formation energy from the elements (eV per atom): -0.1080
# Total DFT energy (no corrections) (eV for the cell shown): -29.7

=====

Record 12
# Ce2PrDy3Bi6 PBE optimized geometry
data_Ce2PrDy3Bi6
_symmetry_space_group_name_H-M 'C 1 2/m 1'
_symmetry_Int_Tables_number 12
_cell_length_a 19.799
_cell_length_b 4.547
_cell_length_c 9.091
_cell_angle_alpha 90.00
_cell_angle_beta 103.25
_cell_angle_gamma 90.00
loop_
_symmetry_equiv_pos_as_xyz
'x,y,z'
'-x,-y,-z'
'-x,y,-z'
'x,-y,z'
'x+1/2,y+1/2,z'
'-x+1/2,-y+1/2,-z'
'-x+1/2,y+1/2,-z'
'x+1/2,-y+1/2,z'
loop_
_atom_site_label
_atom_site_fract_x
_atom_site_fract_y
_atom_site_fract_z
Ce1 0.167 0.000 0.333
Pr1 0.000 0.500 0.000
Dy1 0.000 0.500 0.500
Dy2 0.166 0.000 0.833
Bi1 0.001 0.000 0.743
Bi2 0.165 0.500 0.587
Bi3 0.169 0.500 0.080
# Formation energy from the elements (eV per atom): -0.8532
# Total DFT energy (no corrections) (eV for the cell shown): -128.0